The following is a DFT calculation (PBE) of an optimized crystal structure of VCdPt2Au.

Properties
Symmetry: P4/mmm, No. 123
Formation enthalpy at 0 K, eV per atom: 1.58
Density of states at the Fermi level, states/eV/f.u.: 7.47
Spin magnetization, μB/f.u.: 0.38
Calculated volume, Å³/cell: 117.1

Structure (extended XYZ):
```
5
Lattice="4.917 0.000 0.000 0.000 4.917 0.000 0.000 0.000 4.843" Properties=species:S:1:pos:R:3 pbc="T T T"
V 0.000 0.000 0.000
Cd 0.000 0.000 2.422
Pt 0.000 2.459 2.422
Pt 2.459 0.000 2.422
Au 2.459 2.459 0.000
```